Record 1
# SrLa3Tc

Crystalline SrLa3Tc at its relaxed geometry (GGA-PBEsol, the Alexandria database).

a = 5.588 Å, b = 5.588 Å, c = 5.588 Å
α = 90.00°, β = 90.00°, γ = 90.00°
Positions (direct):
Sr (0.000, 0.000, 0.000)
La (0.000, 0.500, 0.500)
La (0.500, 0.000, 0.500)
La (0.500, 0.500, 0.000)
Tc (0.500, 0.500, 0.500)

ΔH_f (0 K)   0.068 eV/atom
Crystal system   cubic
Total moment   0.000 μB/cell

---

Record 2
# HgOsSCl2

Crystalline HgOsSCl2 at its relaxed geometry (GGA-PBEsol, the Alexandria database).

a = 4.411 Å, b = 4.411 Å, c = 5.656 Å
α = 90.00°, β = 90.00°, γ = 90.00°
Positions (direct):
Hg (0.000, 0.000, 0.000)
Os (0.000, 0.000, 0.500)
S (0.500, 0.500, 0.000)
Cl (0.000, 0.500, 0.500)
Cl (0.500, 0.000, 0.500)

Crystal system   tetragonal
Formation energy from raw total energies   0.63 eV/atom
Total moment   0.327 μB/cell

---

Record 3
# Be3Co

Crystalline Be3Co at its relaxed geometry (GGA-PBEsol, the Alexandria database).

a = 3.587 Å, b = 4.424 Å, c = 4.072 Å
α = 90.00°, β = 90.00°, γ = 90.00°
Positions (direct):
Be (0.250, 0.003, 0.155)
Be (0.250, 0.497, 0.155)
Be (0.250, 0.750, 0.668)
Be (0.750, 0.250, 0.332)
Be (0.750, 0.503, 0.845)
Be (0.750, 0.997, 0.845)
Co (0.250, 0.250, 0.647)
Co (0.750, 0.750, 0.353)

ΔH_f (0 K)   -0.281 eV/atom
Crystal system   orthorhombic
Total moment   0.001 μB/cell